# Si2MoP (meta-GGA SCAN, PBEsol geometry)
data_Si2MoP
_cell_length_a 3.857
_cell_length_b 3.857
_cell_length_c 7.288
_cell_angle_alpha 90.00
_cell_angle_beta 90.00
_cell_angle_gamma 90.00
_space_group_name_H-M_alt 'P 1'
_space_group_IT_number 1
loop_
_space_group_symop_operation_xyz
'x,y,z'
loop_
_atom_site_label
_atom_site_type_symbol
_atom_site_fract_x
_atom_site_fract_y
_atom_site_fract_z
Si1 Si 0.000 0.000 0.000
Si2 Si 0.000 0.500 0.250
Si3 Si 0.500 0.000 0.750
Si4 Si 0.500 0.500 0.500
Mo1 Mo 0.000 0.000 0.500
Mo2 Mo 0.500 0.500 0.000
P1 P 0.000 0.500 0.750
P2 P 0.500 0.000 0.250
# Crystal system = tetragonal
# Total moment = 0.000 μB per atom
# E = -15.896 eV/atom
# Uncorrected formation energy = 0.43 eV per atom
# Calculated density = 5.608 g cm⁻³